This record from Alexandria describes crystalline MgZnAs2 at its relaxed geometry. The functional is PBEsol.

Computed properties:
Symmetry = Pmmm (47)
Offset from the most stable computed form = 0.000 eV/atom
Spin magnetization = 0.000 μB/f.u.
Crystal system = orthorhombic
ΔE_f = -0.0986 eV/atom

Unit cell a=2.894 b=4.684 c=5.396 alpha=90.00 beta=90.00 gamma=90.00
Element x y z (fractional)
As (0.500, 0.875, 0.000)
As (0.000, 0.375, 0.500)
Mg (0.000, 0.375, 0.000)
Zn (0.500, 0.875, 0.500)


This record from Alexandria describes crystalline MgAu at its relaxed geometry. The functional is PBEsol.

Computed properties:
Symmetry = Pbcm (57)
Spin magnetization = 0.000 μB/f.u.
Crystal system = orthorhombic
ΔE_f = -0.5104 eV/atom

Unit cell a=5.647 b=8.061 c=9.435 alpha=90.00 beta=90.00 gamma=90.00
Element x y z (fractional)
Au (0.750, 0.115, 0.856)
Au (0.250, 0.885, 0.144)
Au (0.750, 0.615, 0.144)
Au (0.250, 0.385, 0.856)
Au (0.750, 0.551, 0.583)
Au (0.250, 0.449, 0.417)
Au (0.750, 0.051, 0.417)
Au (0.250, 0.949, 0.583)
Au (0.000, 0.750, 0.903)
Au (0.500, 0.250, 0.097)
Au (0.000, 0.250, 0.097)
Au (0.500, 0.750, 0.903)
Mg (0.750, 0.453, 0.876)
Mg (0.250, 0.547, 0.124)
Mg (0.750, 0.953, 0.124)
Mg (0.250, 0.047, 0.876)
Mg (0.750, 0.875, 0.665)
Mg (0.250, 0.125, 0.335)
Mg (0.750, 0.375, 0.335)
Mg (0.250, 0.625, 0.665)
Mg (0.000, 0.750, 0.378)
Mg (0.500, 0.250, 0.622)
Mg (0.000, 0.250, 0.622)
Mg (0.500, 0.750, 0.378)